## Tl2SbBr4Cl2 (PBE-GGA)

Data for an optimized crystal structure of Tl2SbBr4Cl2.

Cell lengths 7.6983, 7.4810, 7.4810 Å; angles 60.02, 59.67, 59.67 degrees
With the nearest neighbours (Å) after each atom.
Fractional positions:
1 Tl 0.2459 0.7487 0.7487  1 Cl 3.32, 4 Br 3.48-3.57
2 Tl 0.7541 0.2513 0.2513  1 Cl 3.32, 4 Br 3.48-3.57
3 Sb 0.5000 0.0000 0.0000  2 Cl 2.55, 4 Br 2.71
4 Br 0.2924 0.7070 0.2209  1 Sb 2.71
5 Br 0.7076 0.7791 0.2930  1 Sb 2.71
6 Br 0.7076 0.2930 0.7791  1 Sb 2.71
7 Br 0.2924 0.2209 0.7070  1 Sb 2.71
8 Cl 0.1982 0.2373 0.2373  1 Sb 2.55
9 Cl 0.8018 0.7627 0.7627  1 Sb 2.55

## Zn2SbBrCl (PBE-GGA)

Data for an optimized crystal structure of Zn2SbBrCl.

Cell lengths 5.1621, 5.0410, 5.1621 Å; angles 90.00, 90.00, 90.00 degrees
With the nearest neighbours (Å) after each atom.
Fractional positions:
1 Sb 0.5000 0.5000 0.5000  8 Zn 3.61, 4 Br 3.65
2 Zn 0.0000 0.0000 0.5000  2 Cl 2.58
3 Zn 0.5000 0.0000 0.0000  2 Cl 2.58
4 Br 0.0000 0.5000 0.0000  2 Cl 2.52
5 Cl 0.0000 0.0000 0.0000  2 Br 2.52, 4 Zn 2.58

## ScBr2Cl (PBE-GGA)

Data for an optimized crystal structure of ScBr2Cl.

As for the offset from the most stable computed form: 1141 meV/atom.

Cell lengths 4.5693, 4.5693, 4.4559 Å; angles 90.00, 90.00, 90.00 degrees
With the nearest neighbours (Å) after each atom.
Fractional positions:
1 Br 0.0000 0.0000 0.0000  4 Cl 3.19, 4 Sc 3.19, 4 Br 3.23
2 Br 0.5000 0.5000 0.0000  4 Sc 3.19, 4 Cl 3.19, 4 Br 3.23
3 Cl 0.5000 0.0000 0.5000  8 Br 3.19, 4 Sc 3.23
4 Sc 0.0000 0.5000 0.5000  8 Br 3.19, 4 Cl 3.23

## ScBr2Cl (PBE-GGA)

Data for an optimized crystal structure of ScBr2Cl.

As for the offset from the most stable computed form: 0 meV/atom.

Cell lengths 3.8403, 4.9976, 7.7470 Å; angles 88.69, 75.64, 90.00 degrees
With the nearest neighbours (Å) after each atom.
Fractional positions:
1 Sc 0.0005 0.0000 0.0000  2 Cl 2.50, 4 Br 2.67
2 Br 0.3765 0.9913 0.2471  2 Sc 2.67
3 Br 0.6236 0.0087 0.7530  2 Sc 2.67
4 Cl 0.9994 0.5000 0.0000  2 Sc 2.50

## ScBrCl2 (PBE-GGA)

Data for an optimized crystal structure of ScBrCl2.

As for the offset from the most stable computed form: 949 meV/atom.

Cell lengths 4.8982, 4.8982, 4.8982 Å; angles 60.00, 60.00, 60.00 degrees
With the nearest neighbours (Å) after each atom.
Fractional positions:
1 Sc 0.0000 0.0000 0.0000  8 Cl 3.00
2 Br 0.5000 0.5000 0.5000  8 Cl 3.00
3 Cl 0.2500 0.2500 0.2500  4 Br 3.00, 4 Sc 3.00
4 Cl 0.7500 0.7500 0.7500  4 Sc 3.00, 4 Br 3.00

## Sc3BrCl (PBE-GGA)

Data for an optimized crystal structure of Sc3BrCl.

As for the offset from the most stable computed form: 0 meV/atom.

Cell lengths 4.8754, 4.8754, 4.8754 Å; angles 90.00, 90.00, 90.00 degrees
With the nearest neighbours (Å) after each atom.
Fractional positions:
1 Sc 0.0000 0.5000 0.0000  2 Cl 2.44
2 Sc 0.0000 0.0000 0.5000  2 Cl 2.44
3 Sc 0.5000 0.0000 0.0000  2 Cl 2.44
4 Br 0.5000 0.5000 0.5000  12 Sc 3.45
5 Cl 0.0000 0.0000 0.0000  6 Sc 2.44

## Sc2BrCl2 (PBE-GGA)

Data for an optimized crystal structure of Sc2BrCl2.

As for the offset from the most stable computed form: 0 meV/atom.

Cell lengths 7.7102, 7.7102, 3.3797 Å; angles 90.00, 90.00, 90.00 degrees
With the nearest neighbours (Å) after each atom.
Fractional positions:
1 Sc 0.3530 0.8530 0.0000  6 Cl 2.79-2.86, 2 Br 2.95
2 Sc 0.8530 0.6470 0.0000  6 Cl 2.79-2.86, 2 Br 2.95
3 Sc 0.6470 0.1470 0.0000  6 Cl 2.79-2.86, 2 Br 2.95
4 Sc 0.1470 0.3530 0.0000  6 Cl 2.79-2.86, 2 Br 2.95
5 Br 0.0000 0.0000 0.0000  4 Sc 2.95
6 Br 0.5000 0.5000 0.0000  4 Sc 2.95
7 Cl 0.1411 0.6411 0.5000  6 Sc 2.79-2.86, 1 Cl 3.08
8 Cl 0.6411 0.8589 0.5000  6 Sc 2.79-2.86, 1 Cl 3.08
9 Cl 0.8589 0.3589 0.5000  6 Sc 2.79-2.86, 1 Cl 3.08
10 Cl 0.3589 0.1411 0.5000  6 Sc 2.79-2.86, 1 Cl 3.08

## ScBr2Cl (PBE-GGA)

Data for an optimized crystal structure of ScBr2Cl.

As for the offset from the most stable computed form: 738 meV/atom.

Cell lengths 9.7262, 9.7262, 9.7262 Å; angles 22.33, 22.33, 22.33 degrees
With the nearest neighbours (Å) after each atom.
Fractional positions:
1 Sc 0.5000 0.5000 0.5000  6 Br 2.72
2 Br 0.8905 0.8905 0.8905  3 Sc 2.72
3 Br 0.1095 0.1095 0.1095  3 Sc 2.72
4 Cl 0.0000 0.0000 0.0000  2 Br 3.11

## Sc2Br2Cl (PBE-GGA)

Data for an optimized crystal structure of Sc2Br2Cl.

Cell lengths 3.5561, 10.5628, 9.2130 Å; angles 104.88, 101.13, 90.00 degrees
With the nearest neighbours (Å) after each atom.
Fractional positions:
1 Sc 0.2075 0.1272 0.4149  4 Br 2.69-2.83
2 Sc 0.7925 0.8728 0.5851  4 Br 2.69-2.83
3 Sc 0.3244 0.6442 0.6487  3 Cl 2.62-2.64, 2 Br 2.75
4 Sc 0.6756 0.3558 0.3513  3 Cl 2.62-2.64, 2 Br 2.75
5 Br 0.0738 0.2042 0.1477  3 Sc 2.74-2.75
6 Br 0.9262 0.7958 0.8523  3 Sc 2.74-2.75
7 Br 0.3481 0.0855 0.6962  3 Sc 2.69-2.83
8 Br 0.6519 0.9145 0.3038  3 Sc 2.69-2.83
9 Cl 0.1756 0.5405 0.3512  3 Sc 2.62-2.64
10 Cl 0.8244 0.4595 0.6488  3 Sc 2.62-2.64

## ScBr2Cl (PBE-GGA)

Data for an optimized crystal structure of ScBr2Cl.

As for the offset from the most stable computed form: 706 meV/atom.

Cell lengths 3.2760, 3.2760, 9.4835 Å; angles 90.00, 90.00, 90.00 degrees
With the nearest neighbours (Å) after each atom.
Fractional positions:
1 Br 0.0000 0.0000 0.9175  4 Sc 2.86, 1 Cl 3.14
2 Br 0.5000 0.5000 0.2554  4 Br 3.28
3 Cl 0.0000 0.0000 0.5863  4 Sc 2.74
4 Sc 0.5000 0.5000 0.7409  4 Cl 2.74, 4 Br 2.86

## ScBrCl2 (PBE-GGA)

Data for an optimized crystal structure of ScBrCl2.

As for the offset from the most stable computed form: 614 meV/atom.

Cell lengths 10.3744, 10.3744, 10.3744 Å; angles 19.61, 19.61, 19.61 degrees
With the nearest neighbours (Å) after each atom.
Fractional positions:
1 Sc 0.5000 0.5000 0.5000  6 Cl 2.55
2 Br 0.0000 0.0000 0.0000  6 Br 3.53, 2 Cl 3.55
3 Cl 0.8836 0.8836 0.8836  3 Sc 2.55
4 Cl 0.1164 0.1164 0.1164  3 Sc 2.55

## ScBrCl2 (PBE-GGA)

Data for an optimized crystal structure of ScBrCl2.

As for the offset from the most stable computed form: 0 meV/atom.

Cell lengths 3.7601, 7.3606, 7.3589 Å; angles 39.72, 90.00, 90.00 degrees
With the nearest neighbours (Å) after each atom.
Fractional positions:
1 Sc 0.0000 0.4971 0.4969  4 Cl 2.50-2.51, 2 Br 2.66
2 Br 0.5000 0.6334 0.6333  2 Sc 2.66
3 Cl 0.0000 0.9930 0.9929  2 Sc 2.50
4 Cl 0.5000 0.3765 0.3768  2 Sc 2.51

Values of magnetization, in order: 0.00; 0.00; 0.00; 0.00; 0.00; 0.06; 0.00; 0.36; 1.04; 0.36; 0.00; 0.00, all in μB per formula unit.
Values of Fermi-level density of states, in order: 0.43; 0.53; 0.56; 0.00; 0.00; 2.12; 0.63; 1.05; 0.39; 0.61; 0.86; 0.00, all in states/eV/atom.
Values of formation energy (no corrections), in order: -0.732; 0.520; -0.662; -1.802; -0.984; -0.130; -1.161; -1.064; -1.336; -1.096; -1.319; -1.933, all in eV per atom.